Record 1
Below is an optimized crystal structure of YMgGa, with properties calculated at the GGA-PBE level.

## Properties
Symmetry: P4/nmm, No. 129

Unit cell a=4.5351 b=4.5351 c=7.1116 alpha=90.00 beta=90.00 gamma=90.00
Positions (direct):
Y1 0.0000 0.5000 0.2042
Ga1 0.5000 0.5000 0.5000
Ga2 0.0000 0.0000 0.5000
Mg1 0.0000 0.5000 0.7368
Mg2 0.5000 0.0000 0.2632
Y2 0.5000 0.0000 0.7958



Record 2
Below is an optimized crystal structure of YMgGa, with properties calculated at the GGA-PBE level.

## Properties
Symmetry: Immm, No. 71

Unit cell a=6.0554 b=4.2143 c=6.6628 alpha=108.43 beta=63.00 gamma=90.00
Positions (direct):
Y1 0.6384 0.3256 0.3682
Ga1 0.2133 0.2508 0.2184
Y2 0.0284 0.9358 0.5885
Mg1 0.0898 0.6308 0.9783
Ga2 0.4534 0.0106 0.7383
Mg2 0.5768 0.6307 0.9782



Record 3
Below is an optimized crystal structure of Y2MgGa3, with properties calculated at the GGA-PBE level.

## Properties
Symmetry: Fmmm, No. 69

Unit cell a=5.8148 b=5.8148 c=8.6234 alpha=104.93 beta=104.93 gamma=103.64
Positions (direct):
Ga1 0.3288 0.8352 0.1641
Ga2 0.1639 0.1639 0.3277
Mg1 0.6672 0.6672 0.3343
Ga3 0.8352 0.3288 0.1641
Y1 0.2460 0.2460 0.0000
Y2 0.7500 0.2500 0.5000
Ga4 0.6712 0.1648 0.8359
Mg2 0.3328 0.3328 0.6657
Y3 0.7540 0.7540 0.0000
Y4 0.2500 0.7500 0.5000
Ga5 0.8361 0.8361 0.6723
Ga6 0.1648 0.6712 0.8359



Record 4
Below is an optimized crystal structure of Y4MgGa3, with properties calculated at the GGA-PBE level.

## Properties
Symmetry: P4/mmm, No. 123

Unit cell a=5.1282 b=7.2165 c=10.2568 alpha=90.00 beta=90.00 gamma=90.00
Positions (direct):
Y1 0.5000 0.2430 0.0000
Ga1 0.5000 0.0000 0.7500
Ga2 0.5000 0.5000 0.2500
Y2 0.0000 0.7570 0.7500
Y3 0.0000 0.2430 0.7500
Ga3 0.5000 0.0000 0.2500
Y4 0.0000 0.7570 0.2500
Mg1 0.0000 0.5000 0.0000
Y5 0.0000 0.2430 0.2500
Ga4 0.0000 0.0000 0.5000
Mg2 0.0000 0.5000 0.5000
Ga5 0.0000 0.0000 0.0000
Y6 0.5000 0.7570 0.5000
Y7 0.5000 0.2430 0.5000
Y8 0.5000 0.7570 0.0000
Ga6 0.5000 0.5000 0.7500



Record 5
Below is an optimized crystal structure of YMgGa, with properties calculated at the GGA-PBE level.

## Properties
Symmetry: P-6m2, No. 187

Unit cell a=3.5807 b=4.7029 c=4.7029 alpha=120.00 beta=90.00 gamma=90.00
Positions (direct):
Ga1 0.1673 0.3333 0.6667
Mg1 0.1662 0.0000 0.0000
Y1 0.6664 0.6667 0.3333



Record 6
Below is an optimized crystal structure of Y2Mg3Ga2, with properties calculated at the GGA-PBE level.

## Properties
Symmetry: C2/m, No. 12

Unit cell a=4.3324 b=5.8041 c=7.1171 alpha=96.22 beta=90.00 gamma=111.91
Positions (direct):
Ga1 0.9120 0.8241 0.3631
Y1 0.6266 0.2532 0.3535
Ga2 0.0880 0.1759 0.6369
Mg1 0.3185 0.6370 0.1415
Mg2 0.0000 0.0000 0.0000
Mg3 0.6815 0.3630 0.8585
Y2 0.3734 0.7468 0.6465



Record 7
Below is an optimized crystal structure of YMgGa, with properties calculated at the GGA-PBE level.

## Properties
Symmetry: Pnma, No. 62

Unit cell a=7.3647 b=4.3559 c=8.6297 alpha=90.00 beta=90.00 gamma=90.00
Positions (direct):
Mg1 0.6455 0.7500 0.0574
Y1 0.0263 0.7500 0.8204
Mg2 0.3545 0.2500 0.9426
Ga1 0.2464 0.2500 0.6239
Ga2 0.7464 0.2500 0.8761
Mg3 0.8545 0.2500 0.5574
Y2 0.9737 0.2500 0.1795
Ga3 0.7536 0.7500 0.3761
Y3 0.5263 0.7500 0.6796
Mg4 0.1455 0.7500 0.4426
Ga4 0.2536 0.7500 0.1239
Y4 0.4737 0.2500 0.3204



Record 8
Below is an optimized crystal structure of YMg4Ga2, with properties calculated at the GGA-PBE level.

## Properties
Symmetry: P4_2/mnm, No. 136

Unit cell a=4.2912 b=8.4500 c=8.4500 alpha=90.00 beta=90.00 gamma=90.00
Positions (direct):
Ga1 0.0000 0.1924 0.8076
Y1 0.5000 0.0000 0.0000
Ga2 0.0000 0.8076 0.1924
Mg1 0.0000 0.9023 0.6623
Mg2 0.0000 0.0977 0.3377
Mg3 0.0000 0.3377 0.0977
Ga3 0.5000 0.6924 0.6924
Ga4 0.5000 0.3076 0.3076
Mg4 0.5000 0.4023 0.8377
Mg5 0.5000 0.1623 0.5977
Mg6 0.0000 0.6623 0.9023
Mg7 0.5000 0.8377 0.4023
Mg8 0.5000 0.5977 0.1623
Y2 0.0000 0.5000 0.5000



Calculated formation energy from the elements in order - -65.2, -111.0, -310.5, -374.7, -115.7, -248.4, -130.6, -169.6 kJ/mol of formula units
Calculated magnetic moment in order - 0.00, 0.00, 0.00, 0.00, 0.00, 0.00, 0.00, 0.00 μB/cell
Calculated total DFT energy (no corrections) in order - -3.92, -4.08, -4.47, -5.05, -4.09, -3.76, -4.15, -2.95 eV/atom